(1)
Below is a relaxed CsK2LiBi crystal, with properties calculated at the PBE level.

Properties
Total magnetization = 0.00 μB/f.u.
Formation enthalpy at 0 K = -4.6 kcal/mol of atoms
Symmetry = No. 123
E = -1.9686 eV per atom
Energy relative to the lowest polymorph listed for this composition = 0.000 eV per atom

```
data_CsK2LiBi
_chemical_formula_sum 'Cs1 K2 Li1 Bi1'
_space_group_name_H-M_alt 'P 1'
_space_group_IT_number 1
_cell_length_a 7.0836
_cell_length_b 7.0836
_cell_length_c 5.5569
_cell_angle_alpha 90.00
_cell_angle_beta 90.00
_cell_angle_gamma 90.00
loop_
_space_group_symop_operation_xyz
'x,y,z'
loop_
_atom_site_label
_atom_site_type_symbol
_atom_site_fract_x
_atom_site_fract_y
_atom_site_fract_z
Li1 Li 0.0000 0.0000 0.5000
K1 K 0.5000 0.0000 0.0000
Bi1 Bi 0.0000 0.0000 0.0000
Cs1 Cs 0.5000 0.5000 0.5000
K2 K 0.0000 0.5000 0.0000
```

***

(2)
Below is a relaxed CsK2LiBi crystal, with properties calculated at the PBE level.

Properties
Total magnetization = 0.63 μB/f.u.
Formation enthalpy at 0 K = -4.3 kcal/mol of atoms
Symmetry = No. 123
E = -1.9545 eV per atom
Energy relative to the lowest polymorph listed for this composition = 0.014 eV per atom

```
data_CsK2LiBi
_chemical_formula_sum 'Cs1 K2 Li1 Bi1'
_space_group_name_H-M_alt 'P 1'
_space_group_IT_number 1
_cell_length_a 6.5718
_cell_length_b 6.5718
_cell_length_c 5.3635
_cell_angle_alpha 90.00
_cell_angle_beta 90.00
_cell_angle_gamma 90.00
loop_
_space_group_symop_operation_xyz
'x,y,z'
loop_
_atom_site_label
_atom_site_type_symbol
_atom_site_fract_x
_atom_site_fract_y
_atom_site_fract_z
K1 K 0.5000 0.0000 0.0000
Li1 Li 0.0000 0.0000 0.0000
Bi1 Bi 0.0000 0.0000 0.5000
Cs1 Cs 0.5000 0.5000 0.5000
K2 K 0.0000 0.5000 0.0000
```

***

(3)
Below is a relaxed CsKLiBi2 crystal, with properties calculated at the PBE level.

Properties
Total magnetization = 0.00 μB/f.u.
Formation enthalpy at 0 K = -5.7 kcal/mol of atoms
Symmetry = No. 123
E = -2.5708 eV per atom

```
data_CsKLiBi2
_chemical_formula_sum 'Cs1 K1 Li1 Bi2'
_space_group_name_H-M_alt 'P 1'
_space_group_IT_number 1
_cell_length_a 5.5058
_cell_length_b 5.5058
_cell_length_c 6.0902
_cell_angle_alpha 90.00
_cell_angle_beta 90.00
_cell_angle_gamma 90.00
loop_
_space_group_symop_operation_xyz
'x,y,z'
loop_
_atom_site_label
_atom_site_type_symbol
_atom_site_fract_x
_atom_site_fract_y
_atom_site_fract_z
Bi1 Bi 0.5000 0.0000 0.0000
Cs1 Cs 0.5000 0.5000 0.5000
K1 K 0.0000 0.0000 0.5000
Bi2 Bi 0.0000 0.5000 0.0000
Li1 Li 0.0000 0.0000 0.0000
```